[1]
Material: CuPtS
Method: DFT, PBE-GGA
State: relaxed

Calculated values
Crystal system: triclinic
Relative energy among the computed polymorphs, meV per atom: 138
E_form (uncorrected), eV/atom: -0.04
Calculated total energy, eV/f.u.: -14.39

Cell: 4.5068 4.5669 5.4306 Å, 83.26 88.33 75.54°
Space group P1 (No. 1)
Symmetry-distinct sites (fractional):
Cu1 0.0000 0.0000 0.0000
Cu2 0.1818 0.4996 0.5308
Pt1 0.5191 0.4961 0.9513
Pt2 0.6279 0.7723 0.3359
S1 0.2713 0.2144 0.2202
S2 0.7985 0.7848 0.7238

[2]
Material: Nb6RuRh
Method: DFT, PBE-GGA
State: relaxed

Calculated values
Crystal system: tetragonal
Relative energy among the computed polymorphs, meV per atom: 31
ΔE_f, eV/atom: -0.211
Calculated total energy, eV/f.u.: -78.73

Cell: 4.6164 4.6164 12.9429 Å, 90.00 90.00 90.00°
Space group I4/mmm (No. 139)
Symmetry-distinct sites (fractional):
Nb1 0.0000 0.0000 0.2494
Nb2 0.0000 0.5000 0.1230
Ru1 0.0000 0.0000 0.0000
Rh1 0.0000 0.0000 0.5000

[3]
Material: Sc2SF
Method: DFT, PBE-GGA
State: relaxed

Calculated values
Crystal system: trigonal
Relative energy among the computed polymorphs, meV per atom: 0
E_form (uncorrected), eV/atom: -2.02
Calculated total energy, eV/f.u.: -26.76

Cell: 3.5868 3.5868 21.0924 Å, 90.00 90.00 120.00°
Space group R-3m (No. 166, hexagonal axes)
Symmetry-distinct sites (fractional):
Sc1 0.0000 0.0000 0.0966
S1 0.0000 0.0000 0.5000
F1 0.0000 0.0000 0.0000

[4]
Material: Pm6Pr2HoMg
Method: DFT, PBE-GGA
State: relaxed

Calculated values
Crystal system: monoclinic
ΔE_f, eV/atom: 0.109
Calculated total energy, eV/f.u.: -43.15

Cell: 9.2901 15.2321 9.5695 Å, 90.00 96.99 90.00°
Space group C2/c (No. 15)
Symmetry-distinct sites (fractional):
Pm1 0.0530 0.1823 0.4477
Pm2 0.1052 0.3932 0.6117
Pm3 0.2129 0.2149 0.8029
Pr1 0.2432 0.4500 0.9527
Ho1 0.0000 0.0194 0.7500
Mg1 0.0000 0.4110 0.2500

[5]
Material: ZrTa2As
Method: DFT, PBE-GGA
State: relaxed

Calculated values
Crystal system: monoclinic
ΔE_f, eV/atom: -0.267
Calculated total energy, eV/f.u.: -37.97

Cell: 3.3700 4.4206 5.3471 Å, 90.00 108.34 90.00°
Space group Pm (No. 6)
Symmetry-distinct sites (fractional):
Zr1 0.0000 0.0000 0.0000
Ta1 0.2820 0.5000 0.5699
Ta2 0.7328 0.0000 0.4737
As1 0.5643 0.5000 0.1318

[6]
Material: Pm2Tl3Pd5
Method: DFT, PBE-GGA
State: relaxed

Calculated values
Crystal system: orthorhombic
ΔE_f, eV/atom: -0.390
Calculated total energy, eV/f.u.: -46.46

Cell: 11.5063 13.0549 5.8905 Å, 90.00 90.00 90.00°
Space group Ibam (No. 72)
Symmetry-distinct sites (fractional):
Pm1 0.1207 0.2359 0.0000
Tl1 0.0000 0.0000 0.2500
Tl2 0.1249 0.3649 0.5000
Pd1 0.0000 0.5000 0.2500
Pd2 0.1327 0.1571 0.5000
Pd3 0.2422 0.0000 0.2500

[7]
Material: YHfZn4
Method: DFT, PBE-GGA
State: relaxed

Calculated values
Crystal system: orthorhombic
Relative energy among the computed polymorphs, meV per atom: 0
ΔE_f, eV/atom: -0.280
Calculated total energy, eV/f.u.: -23.19

Cell: 3.2719 4.4127 7.6534 Å, 90.00 90.00 90.00°
Space group Pmmm (No. 47)
Symmetry-distinct sites (fractional):
Y1 0.0000 0.0000 0.0000
Hf1 0.0000 0.5000 0.5000
Zn1 0.5000 0.0000 0.3401
Zn2 0.5000 0.5000 0.1767

[8]
Material: Ac8Tl2Ga
Method: DFT, PBE-GGA
State: relaxed

Calculated values
Crystal system: monoclinic
ΔE_f, eV/atom: -0.176
Calculated total energy, eV/f.u.: -42.57

Cell: 20.7527 5.6640 7.5040 Å, 90.00 103.06 90.00°
Space group C2/m (No. 12)
Symmetry-distinct sites (fractional):
Ac1 0.0169 0.0000 0.2745
Ac2 0.0899 0.5000 0.9560
Ac3 0.1541 0.5000 0.4795
Ac4 0.2087 0.0000 0.8155
Tl1 0.1836 0.0000 0.2506
Ga1 0.0000 0.5000 0.5000